[1]
Compound: LiZrZn2Re
Source: Alexandria
Functional: PBE-GGA
Structure: relaxed

The calculation puts the calculated total energy at -2.95 eV per atom.

Unit cell a=4.845 b=4.845 c=4.215 alpha=90.00 beta=90.00 gamma=90.00
Space group P4/mmm (No. 123)
Unique sites:
1 Li 0.000 0.000 0.000
2 Zr 0.000 0.000 0.500
3 Zn 0.000 0.500 0.500
4 Re 0.500 0.500 0.000

[2]
Compound: LiZr2Re
Source: Alexandria
Functional: PBE-GGA
Structure: relaxed

The calculation puts the energy above the most stable polymorph in this dataset at 0.512 eV per atom. The calculation puts the calculated total energy at -7.50 eV per atom.

Unit cell a=2.779 b=2.779 c=9.713 alpha=90.00 beta=90.00 gamma=90.00
Space group P4mm (No. 99)
Unique sites:
1 Li 0.000 0.000 0.000
2 Zr 0.000 0.000 0.454
3 Zr 0.500 0.500 0.730
4 Re 0.500 0.500 0.212

no.,N(E_F) (states/eV per atom),total moment (μB/f.u.),calculated formation energy (eV/f.u.)
1,2.6219,0.0,10.7
2,0.8117,0.0,1.5